The following is a GGA+U calculation of ZrNi5B2O10 after structural relaxation, from Alexandria.

Output
The value obtained for the total moment is 10.0 μB per formula unit. The total energy comes out at -116.71 eV per formula unit.

```
ZrNi5B2O10
1.0
3.1474 0.0000 0.0000
0.0000 9.3538 0.0000
0.0000 0.0000 12.4824
Zr Ni B O
2 10 4 20
Direct
0.0000 0.0119 0.0000
0.0000 0.9881 0.5000
0.0000 0.2648 0.3776
0.0000 0.4881 0.7663
0.0000 0.5119 0.2663
0.0000 0.7352 0.8776
0.5000 0.2627 0.1675
0.5000 0.2655 0.8769
0.5000 0.2697 0.6012
0.5000 0.7303 0.1012
0.5000 0.7345 0.3769
0.5000 0.7373 0.6675
0.0000 0.0243 0.7419
0.0000 0.4711 0.0218
0.0000 0.5289 0.5218
0.0000 0.9757 0.2419
0.0000 0.0974 0.8393
0.0000 0.1050 0.6472
0.0000 0.1223 0.2360
0.0000 0.3786 0.5220
0.0000 0.3962 0.9255
0.0000 0.3984 0.1186
0.0000 0.6016 0.6186
0.0000 0.6038 0.4255
0.0000 0.6214 0.0220
0.0000 0.8777 0.7360
0.0000 0.8950 0.1472
0.0000 0.9026 0.3393
0.5000 0.1331 0.4598
0.5000 0.1506 0.0264
0.5000 0.3594 0.3066
0.5000 0.3593 0.7384
0.5000 0.6407 0.2384
0.5000 0.6406 0.8066
0.5000 0.8494 0.5264
0.5000 0.8669 0.9598
```